DFT (PBE-GGA) results for crystalline NaAgAuSe at its relaxed geometry.

Unit cell a=3.9854 b=3.9854 c=11.1600 alpha=90.00 beta=90.00 gamma=90.00
Closest atoms and distances in Å follow each position.
Atoms (fractional coordinates):
Na 0.7500 0.7500 0.2682  4 Se 3.01, 4 Au 3.27
Na 0.2500 0.2500 0.7318  4 Se 3.01, 4 Au 3.27
Ag 0.7500 0.2500 0.0000  4 Se 2.77, 4 Ag 2.82
Ag 0.2500 0.7500 0.0000  4 Se 2.77, 4 Ag 2.82
Au 0.2500 0.7500 0.5000  4 Au 2.82
Au 0.7500 0.2500 0.5000  4 Au 2.82
Se 0.7500 0.7500 0.8278  4 Ag 2.77, 4 Na 3.01
Se 0.2500 0.2500 0.1722  4 Ag 2.77, 4 Na 3.01

Calculated values
- formation energy from raw total energies (eV/atom) = -0.332
- E (eV/atom) = -3.0646
- space group = No. 129